An optimized crystal structure of Ta2GaSbIr2. Source: the Open Quantum Materials Database, functional PBE.

a = 6.1387 Å, b = 6.1387 Å, c = 12.2528 Å
α = 90.00°, β = 90.00°, γ = 90.00°
Last column: nearest neighbours and their distance in Å.
Space group I-42d (No. 122)
One atom of each set of equivalent atoms:
Ta1 0.0000 0.0000 0.2445 [8 per cell]  4 Ir 2.61-2.71
Ga1 0.0000 0.0000 0.0000 [4 per cell]  4 Ir 2.65
Sb1 0.0000 0.0000 0.5000 [4 per cell]  4 Ir 2.67
Ir1 0.2469 0.2500 0.1250 [8 per cell]  4 Ta 2.61-2.71, 2 Ga 2.65, 2 Sb 2.67

Output
**Total energy**: -207.2 eV for the cell shown

***

An optimized crystal structure of Li4GePPt2. Source: the Open Quantum Materials Database, functional PBE.

a = 4.1726 Å, b = 4.1726 Å, c = 6.0301 Å
α = 90.00°, β = 90.00°, γ = 90.00°
Last column: nearest neighbours and their distance in Å.
Space group P-4m2 (No. 115)
One atom of each set of equivalent atoms:
Li1 0.0000 0.0000 0.0000 [1 per cell]  4 Pt 2.61, 4 Li 2.61
Li2 0.0000 0.5000 0.7394 [2 per cell]  4 Li 2.54-2.61, 2 P 2.54, 2 Ge 2.61
Li3 0.5000 0.5000 0.5000 [1 per cell]  4 Li 2.54, 4 Pt 2.54
Ge1 0.5000 0.5000 0.0000 [1 per cell]  4 Pt 2.61, 4 Li 2.61
P1 0.0000 0.0000 0.5000 [1 per cell]  4 Li 2.54, 4 Pt 2.54
Pt1 0.0000 0.5000 0.2604 [2 per cell]  4 Li 2.54-2.61, 2 P 2.54, 2 Ge 2.61

Output
**Total energy**: -35.0 eV for the cell shown

***

An optimized crystal structure of GdZnAsO. Source: the Open Quantum Materials Database, functional PBE.

a = 4.3472 Å, b = 6.2107 Å, c = 5.9302 Å
α = 90.00°, β = 90.00°, γ = 90.00°
Last column: nearest neighbours and their distance in Å.
Space group Pmc2_1 (No. 26)
One atom of each set of equivalent atoms:
Gd1 0.0000 0.2451 0.0000 [2 per cell]  2 O 2.25
Zn1 0.5000 0.3640 0.6173 [2 per cell]  2 O 2.06-2.12
As1 0.0000 0.2254 0.4969 [2 per cell]  2 Zn 2.44
O1 0.5000 0.3342 0.9728 [2 per cell]  2 Zn 2.06-2.12, 2 Gd 2.25

Output
**Total energy**: -43.9 eV for the cell shown

***

An optimized crystal structure of HfZnPd. Source: the Open Quantum Materials Database, functional PBE.

a = 3.4030 Å, b = 3.4030 Å, c = 8.7415 Å
α = 90.00°, β = 90.00°, γ = 90.00°
Last column: nearest neighbours and their distance in Å.
Space group I4mm (No. 107)
One atom of each set of equivalent atoms:
Hf1 0.0000 0.0000 0.0000 [2 per cell]  5 Zn 2.84-2.87, 5 Pd 2.85
Zn1 0.0000 0.0000 0.6718 [2 per cell]  5 Pd 2.76-3.02, 5 Hf 2.84-2.87
Pd1 0.0000 0.0000 0.3259 [2 per cell]  5 Zn 2.76-3.02, 5 Hf 2.85

Output
**E_form**: -0.513 eV per atom

***

An optimized crystal structure of ZnPtW. Source: the Open Quantum Materials Database, functional PBE.

a = 6.0053 Å, b = 6.0053 Å, c = 6.0053 Å
α = 90.00°, β = 90.00°, γ = 90.00°
Last column: nearest neighbours and their distance in Å.
Space group F-43m (No. 216)
One atom of each set of equivalent atoms:
Zn1 0.0000 0.0000 0.0000 [4 per cell]  4 W 2.60
Pt1 0.0000 0.0000 0.5000 [4 per cell]  4 W 2.60
W1 0.2500 0.2500 0.7500 [4 per cell]  4 Pt 2.60, 4 Zn 2.60

Output
**E_form**: 0.436 eV per atom

***

An optimized crystal structure of Hf2PdPt3. Source: the Open Quantum Materials Database, functional PBE.

a = 3.4485 Å, b = 3.4485 Å, c = 8.7584 Å
α = 90.00°, β = 90.00°, γ = 90.00°
Last column: nearest neighbours and their distance in Å.
Space group P4mm (No. 99)
One atom of each set of equivalent atoms:
Hf1 0.0000 0.0000 0.0000 [1 per cell]  6 Pt 2.78-2.99, 4 Pd 2.84
Hf2 0.5000 0.5000 0.4958 [1 per cell]  9 Pt 2.80-3.01, 1 Pd 2.96
Pd1 0.5000 0.5000 0.8335 [1 per cell]  5 Pt 2.79-2.88, 5 Hf 2.84-2.96
Pt1 0.0000 0.0000 0.3375 [1 per cell]  5 Hf 2.80-2.96, 5 Pt 2.81-2.93
Pt2 0.0000 0.0000 0.6581 [1 per cell]  1 Pt 2.81, 5 Hf 2.82-2.99, 4 Pd 2.88
Pt3 0.5000 0.5000 0.1519 [1 per cell]  5 Hf 2.78-3.01, 1 Pd 2.79, 4 Pt 2.93

Output
**E_form**: -1.017 eV per atom